[1]
Pr13In2: optimized geometry, PBE-GGA.

Cell lengths 6.7854, 9.1475, 9.2766 Å; angles 65.46, 81.79, 82.14 degrees
With the nearest neighbours (Å) after each atom.
Fractional positions:
Pr1 0.0000 0.0000 0.0000  12 Pr 3.60-3.93, 2 In 3.78
Pr2 0.0990 0.4374 0.7487  2 In 3.22-3.47, 2 Pr 3.37-3.46
Pr3 0.1924 0.1907 0.2140  10 Pr 3.57-3.92, 2 In 3.65-3.68
Pr4 0.2864 0.9612 0.6348  2 In 3.24-3.52, 3 Pr 3.38-3.57
Pr5 0.2973 0.6237 0.9752  4 Pr 3.27-3.55
Pr6 0.3976 0.3919 0.4095  11 Pr 3.58-3.91, 3 In 3.67-3.85
Pr7 0.4764 0.8292 0.1756  1 In 3.22, 3 Pr 3.46-3.55
Pr8 0.5236 0.1708 0.8244  1 In 3.22, 3 Pr 3.46-3.55
Pr9 0.6024 0.6081 0.5905  11 Pr 3.58-3.91, 3 In 3.67-3.85
Pr10 0.7027 0.3763 0.0248  4 Pr 3.27-3.55
Pr11 0.7136 0.0388 0.3652  2 In 3.24-3.52, 3 Pr 3.38-3.57
Pr12 0.8076 0.8093 0.7860  10 Pr 3.57-3.92, 2 In 3.65-3.68
Pr13 0.9010 0.5626 0.2513  2 In 3.22-3.47, 2 Pr 3.37-3.46
In1 0.0907 0.7689 0.4337  5 Pr 3.22-3.52
In2 0.9093 0.2311 0.5663  5 Pr 3.22-3.52

Computed properties:
- Formation enthalpy at 0 K: -9 kJ per mole of atoms

=====

[2]
PrIn2: optimized geometry, PBE-GGA.

Cell lengths 3.6623, 3.6623, 12.5635 Å; angles 90.00, 90.00, 90.00 degrees
With the nearest neighbours (Å) after each atom.
Fractional positions:
Pr1 0.0000 0.0000 0.0000  8 In 3.42, 4 Pr 3.66
Pr2 0.5000 0.5000 0.5000  8 In 3.42, 4 Pr 3.66
In1 0.0000 0.0000 0.3222  4 In 3.16, 4 Pr 3.42
In2 0.0000 0.0000 0.6778  4 In 3.16, 4 Pr 3.42
In3 0.5000 0.5000 0.1778  4 In 3.16, 4 Pr 3.42
In4 0.5000 0.5000 0.8222  4 In 3.16, 4 Pr 3.42

Computed properties:
- Formation enthalpy at 0 K: -31 kJ per mole of atoms

=====

[3]
PrIn4: optimized geometry, PBE-GGA.

Cell lengths 8.9618, 8.9618, 8.9618 Å; angles 148.24, 134.92, 56.19 degrees
With the nearest neighbours (Å) after each atom.
Fractional positions:
Pr1 0.3553 0.1053 0.2500  13 In 3.34-3.62
Pr2 0.6447 0.8947 0.7500  13 In 3.34-3.62
In1 0.0000 0.5000 0.5000  8 In 3.12-3.44, 4 Pr 3.43
In2 0.1438 0.8938 0.2500  10 In 3.26-3.49, 3 Pr 3.34-3.44
In3 0.1797 0.6973 0.4823  6 In 2.96-3.26
In4 0.2850 0.3027 0.9823  6 In 2.96-3.26
In5 0.5000 0.5000 0.0000  8 In 3.12-3.44, 4 Pr 3.43
In6 0.7150 0.6973 0.0177  6 In 2.96-3.26
In7 0.8203 0.3027 0.5177  6 In 2.96-3.26
In8 0.8562 0.1062 0.7500  10 In 3.26-3.49, 3 Pr 3.34-3.44

Computed properties:
- Formation enthalpy at 0 K: -32 kJ per mole of atoms
- Energy above the lowest structure with this stoichiometry: 0.000 eV/atom

=====

Q: Which value of formation enthalpy at 0 K does entry 2 give?
A: -31 kJ per mole of atoms

=====

Q: Among the records above, which one has the lowest formation enthalpy at 0 K?
A: PrIn4

=====

Q: Which value of formation enthalpy at 0 K does entry 2 give?
A: -31 kJ per mole of atoms